# 1
Ca2CdCu at its PBEsol-relaxed geometry, computed with meta-GGA SCAN.

Structure (extended XYZ):
```
4
Lattice="4.276 0.000 0.000 0.000 4.315 0.000 -2.138 0.000 5.643" Properties=species:S:1:pos:R:3 pbc="T T T"
Ca 0.000 0.000 1.207
Ca 0.000 2.158 4.496
Cu 2.138 2.158 2.020
Cd 2.138 0.000 3.566
```

Properties
**SG**: No. 38
**Formation energy**: -218 meV per atom

# 2
In2Sb3 at its PBEsol-relaxed geometry, computed with meta-GGA SCAN.

Structure (extended XYZ):
```
5
Lattice="-1.891 -3.825 -0.668 0.635 -3.239 2.786 -7.336 0.259 5.320" Properties=species:S:1:pos:R:3 pbc="T T T"
Sb -5.366 -5.511 4.859
Sb 0.000 0.000 0.000
Sb -3.227 -1.294 2.579
In -6.455 -2.587 5.159
In -2.137 -4.218 2.279
```

Properties
**SG**: No. 166
**Energy relative to the elements, uncorrected**: -0.022 eV/atom

We obtain size of the total moment values of 0.000 0.000 μB per cell for the records listed above, in that order.
We obtain calculated volume values of 104 141 Å³/cell for the records listed above, in that order.